Computed, not measured: Fe2W after structural relaxation at the PBE-GGA level of DFT.

## Properties
For the density of states at the Fermi level, the calculation gives 1.125 states/eV/atom. The formation energy comes out at 0.78 eV per atom. As for the space group: No. 225. The magnetization comes out at 0.445 μB/atom.

```
Fe2W
1.0
0.000 2.807 2.807
2.807 0.000 2.807
2.807 2.807 0.000
Fe W
2 1
direct
0.250 0.250 0.250
0.750 0.750 0.750
0.000 0.000 0.000
```

---

Computed, not measured: Li7Pd3Au after structural relaxation at the PBE-GGA level of DFT.

## Properties
For the density of states at the Fermi level, the calculation gives 0.198 states/eV/atom. The formation energy comes out at -0.38 eV per atom. As for the space group: No. 63. The magnetization comes out at 0.000 μB/atom.

```
Li7Pd3Au
1.0
1.403 -10.569 0.000
1.403 10.569 0.000
0.000 0.000 11.763
Li Pd Au
14 6 2
direct
0.057 0.943 0.628
0.057 0.943 0.872
0.097 0.903 0.104
0.097 0.903 0.396
0.187 0.813 0.750
0.224 0.776 0.095
0.224 0.776 0.405
0.776 0.224 0.595
0.776 0.224 0.905
0.813 0.187 0.250
0.903 0.097 0.604
0.903 0.097 0.896
0.943 0.057 0.128
0.943 0.057 0.372
0.332 0.668 0.750
0.344 0.656 0.058
0.344 0.656 0.442
0.656 0.344 0.558
0.656 0.344 0.942
0.668 0.332 0.250
0.474 0.526 0.750
0.526 0.474 0.250
```

---

Computed, not measured: PmPr2NpN4 after structural relaxation at the PBE-GGA level of DFT.

## Properties
As for the uncorrected formation energy: -30.1 kcal/mol of atoms. For the density of states at the Fermi level, the calculation gives 0.742 states/eV/atom. As for the space group: No. 10. The magnetization comes out at 0.337 μB/atom.

```
PmPr2NpN4
1.0
6.190 0.000 0.000
0.000 3.591 0.000
-2.016 0.000 5.892
Pm Pr Np N
1 2 1 4
direct
0.000 0.000 0.000
0.000 0.500 0.500
0.500 0.000 0.500
0.500 0.500 0.000
0.270 0.500 0.222
0.274 0.000 0.778
0.726 0.000 0.222
0.730 0.500 0.778
```

---

Computed, not measured: NaLiGa2 after structural relaxation at the PBE-GGA level of DFT.

## Properties
For the density of states at the Fermi level, the calculation gives 0.303 states/eV/atom. The formation energy comes out at 0.04 eV per atom. As for the space group: No. 122. The magnetization comes out at 0.000 μB/atom.

```
NaLiGa2
1.0
-2.256 2.256 9.690
2.256 -2.256 9.690
2.256 2.256 -9.690
Na Li Ga
2 2 4
direct
0.000 0.000 0.000
0.750 0.250 0.500
0.250 0.750 0.500
0.500 0.500 0.000
0.263 0.625 0.138
0.375 0.513 0.638
0.487 0.125 0.862
0.875 0.737 0.362
```

---

Computed, not measured: Li2LaHgAu2 after structural relaxation at the PBE-GGA level of DFT.

## Properties
For the density of states at the Fermi level, the calculation gives 0.529 states/eV/atom. The formation energy comes out at -0.58 eV per atom. As for the space group: No. 164. The magnetization comes out at 0.000 μB/atom.

```
Li2LaHgAu2
1.0
4.625 0.000 0.000
-2.313 4.006 0.000
0.000 0.000 6.840
Li La Hg Au
2 1 1 2
direct
0.333 0.667 0.149
0.667 0.333 0.851
0.000 0.000 0.500
0.000 0.000 0.000
0.333 0.667 0.755
0.667 0.333 0.245
```

---

Computed, not measured: Al2Sn after structural relaxation at the PBE-GGA level of DFT.

## Properties
For the density of states at the Fermi level, the calculation gives 0.536 states/eV/atom. The formation energy comes out at 0.14 eV per atom. As for the space group: No. 227. The magnetization comes out at 0.000 μB/atom.

```
Al2Sn
1.0
0.000 3.950 3.950
3.950 0.000 3.950
3.950 3.950 0.000
Al Sn
4 2
direct
0.000 0.000 0.000
0.000 0.000 0.500
0.000 0.500 0.000
0.500 0.000 0.000
0.375 0.375 0.375
0.625 0.625 0.625
```

---

Computed, not measured: SmTh2Tc after structural relaxation at the PBE-GGA level of DFT.

## Properties
For the density of states at the Fermi level, the calculation gives 1.401 states/eV/atom. The formation energy comes out at 0.07 eV per atom. As for the space group: No. 160. The magnetization comes out at 0.000 μB/atom.

```
SmTh2Tc
1.0
2.022 1.167 8.766
-2.022 1.167 8.766
0.000 -2.335 8.766
Sm Th Tc
1 2 1
direct
0.000 0.000 0.000
0.557 0.557 0.557
0.773 0.773 0.773
0.162 0.162 0.162
```

---

Computed, not measured: LaMn4Al8 after structural relaxation at the PBE-GGA level of DFT.

## Properties
For the density of states at the Fermi level, the calculation gives 0.701 states/eV/atom. The formation energy comes out at -0.29 eV per atom. As for the space group: No. 139. The magnetization comes out at 0.000 μB/atom.

```
LaMn4Al8
1.0
-4.452 4.452 2.482
4.452 -4.452 2.482
4.452 4.452 -2.482
La Mn Al
1 4 8
direct
0.000 0.000 0.000
0.000 0.000 0.500
0.000 0.500 0.000
0.500 0.000 0.000
0.500 0.500 0.500
0.000 0.345 0.345
0.000 0.655 0.655
0.276 0.500 0.776
0.345 0.000 0.345
0.500 0.276 0.776
0.500 0.724 0.224
0.655 0.000 0.655
0.724 0.500 0.224
```